First-principles (GGA-PBE) data for a geometry-optimized PmDy2Y6Th structure, as listed in Alexandria.

Cell and atoms, written as POSCAR:
```
PmDy2Y6Th
1.0
4.647 -7.486 0.000
4.647 7.486 0.000
-1.118 0.000 9.455
Pm Dy Y Th
2 4 12 2
Direct
0.091 0.909 0.750
0.909 0.091 0.250
0.205 0.303 0.947
0.303 0.205 0.447
0.697 0.795 0.553
0.795 0.697 0.053
0.017 0.794 0.387
0.072 0.517 0.182
0.206 0.983 0.113
0.261 0.615 0.559
0.385 0.739 0.941
0.483 0.928 0.318
0.517 0.072 0.682
0.615 0.261 0.059
0.739 0.385 0.441
0.794 0.017 0.887
0.928 0.483 0.818
0.983 0.206 0.613
0.468 0.532 0.250
0.532 0.468 0.750
```

Calculated values
Spin magnetization ... 0.0 μB per cell
Formation enthalpy at 0 K ... 0.1497 eV/atom
Energy ... -5.8662 eV/atom
Density of states at the Fermi level ... 1.527 states/eV per atom